This record from Alexandria describes crystalline Pt2Au2C at its relaxed geometry. The functional is PBE.

POSCAR file:
```
Pt2Au2C
1.0
-1.8350 1.8350 6.7803
1.8350 -1.8350 6.7803
1.8350 1.8350 -6.7803
Pt Au C
2 2 1
Direct
0.0917 0.0917 0.0000
0.9083 0.9083 0.0000
0.2500 0.7500 0.5000
0.7500 0.2500 0.5000
0.5000 0.5000 0.0000
```

Final energy = -3.97 eV/atom
Polymorph energy (0 for the lowest one) = 1173 meV/atom
Magnetic moment = 0.0 μB/f.u.
E_form = 1.599 eV per atom
Space-group type = I4/mmm
Crystal system = tetragonal

---

This record from Alexandria describes crystalline Pt2Au2C at its relaxed geometry. The functional is PBE.

POSCAR file:
```
Pt2Au2C
1.0
5.4961 0.0000 0.0000
0.0000 5.4961 0.0000
0.0000 0.0000 5.4451
Pt Au C
4 4 2
Direct
0.1832 0.3168 0.0000
0.3168 0.8168 0.0000
0.6832 0.1832 0.0000
0.8168 0.6832 0.0000
0.1845 0.6845 0.5000
0.3155 0.1845 0.5000
0.6845 0.8155 0.5000
0.8155 0.3155 0.5000
0.0000 0.0000 0.0000
0.5000 0.5000 0.0000
```

Final energy = -5.15 eV/atom
Polymorph energy (0 for the lowest one) = 0 meV/atom
Magnetic moment = 0.0 μB/f.u.
E_form = 0.426 eV per atom
Space-group type = P4/mbm
Crystal system = tetragonal

---

This record from Alexandria describes crystalline RuPtAuC2 at its relaxed geometry. The functional is PBE.

POSCAR file:
```
RuPtAuC2
1.0
3.9214 0.0000 0.0000
0.0000 3.9214 0.0000
0.0000 0.0000 5.3073
Ru Pt Au C
1 1 1 2
Direct
0.0000 0.0000 0.0000
0.5000 0.5000 0.5000
0.5000 0.5000 0.0000
0.0000 0.5000 0.5000
0.5000 0.0000 0.5000
```

Final energy = -5.35 eV/atom
Magnetic moment = 1.6 μB/f.u.
E_form = 2.057 eV per atom
Space-group type = P4/mmm
Crystal system = tetragonal

---

This record from Alexandria describes crystalline Y2PtAuC at its relaxed geometry. The functional is PBE.

POSCAR file:
```
Y2PtAuC
1.0
5.0246 0.0000 0.0000
0.0000 5.0246 0.0000
0.0000 0.0000 3.9287
Y Pt Au C
2 1 1 1
Direct
0.0000 0.5000 0.0000
0.5000 0.0000 0.0000
0.0000 0.0000 0.5000
0.5000 0.5000 0.5000
0.0000 0.0000 0.0000
```

Final energy = -6.97 eV/atom
Magnetic moment = 0.0 μB/f.u.
E_form = -0.674 eV per atom
Space-group type = P4/mmm
Crystal system = tetragonal

---

This record from Alexandria describes crystalline PuAuC at its relaxed geometry. The functional is PBE.

POSCAR file:
```
PuAuC
1.0
1.6076 -8.0447 0.0000
1.6076 8.0447 0.0000
0.0000 0.0000 3.5828
Pu Au C
2 2 2
Direct
0.0479 0.9521 0.7500
0.9521 0.0479 0.2500
0.2004 0.7996 0.2500
0.7996 0.2004 0.7500
0.4186 0.5814 0.7500
0.5814 0.4186 0.2500
```

Final energy = -8.34 eV/atom
Magnetic moment = 0.4 μB/f.u.
E_form = 0.608 eV per atom
Space-group type = Cmcm
Crystal system = orthorhombic

---

This record from Alexandria describes crystalline Pu4Au2C at its relaxed geometry. The functional is PBE.

POSCAR file:
```
Pu4Au2C
1.0
-2.3702 2.3702 7.6286
2.3702 -2.3702 7.6286
2.3702 2.3702 -7.6286
Pu Au C
4 2 1
Direct
0.0000 0.5000 0.5000
0.1662 0.1662 0.0000
0.5000 0.0000 0.5000
0.8338 0.8338 0.0000
0.3627 0.3627 0.0000
0.6373 0.6373 0.0000
0.0000 0.0000 0.0000
```

Final energy = -10.57 eV/atom
Magnetic moment = 22.7 μB/f.u.
E_form = -0.131 eV per atom
Space-group type = I4/mmm
Crystal system = tetragonal

---

This record from Alexandria describes crystalline RbAu2C at its relaxed geometry. The functional is PBE.

POSCAR file:
```
RbAu2C
1.0
-3.3552 3.3552 4.7839
3.3552 -3.3552 4.7839
3.3552 3.3552 -4.7839
Rb Au C
2 4 2
Direct
0.3750 0.6250 0.7500
0.6250 0.3750 0.2500
0.0000 0.0000 0.0000
0.0000 0.0000 0.5000
0.0000 0.5000 0.0000
0.5000 0.0000 0.5000
0.1250 0.8750 0.2500
0.8750 0.1250 0.7500
```

Final energy = -3.82 eV/atom
Magnetic moment = 0.0 μB/f.u.
E_form = 0.364 eV per atom
Space-group type = I4_1/amd
Crystal system = tetragonal

---

This record from Alexandria describes crystalline Rb3AuC at its relaxed geometry. The functional is PBE.

POSCAR file:
```
Rb3AuC
1.0
5.9756 0.0000 0.0000
0.0000 5.9756 0.0000
0.0000 0.0000 5.9756
Rb Au C
3 1 1
Direct
0.0000 0.0000 0.5000
0.0000 0.5000 0.0000
0.5000 0.0000 0.0000
0.5000 0.5000 0.5000
0.0000 0.0000 0.0000
```

Final energy = -2.30 eV/atom
Polymorph energy (0 for the lowest one) = 0 meV/atom
Magnetic moment = 2.0 μB/f.u.
E_form = 0.785 eV per atom
Space-group type = Pm-3m
Crystal system = cubic

---

This record from Alexandria describes crystalline RbSiAu2C at its relaxed geometry. The functional is PBE.

POSCAR file:
```
RbSiAu2C
1.0
5.4260 0.0000 0.0000
0.0000 5.4260 0.0000
0.0000 0.0000 3.5354
Rb Si Au C
1 1 2 1
Direct
0.0000 0.0000 0.0000
0.5000 0.5000 0.0000
0.0000 0.5000 0.5000
0.5000 0.0000 0.5000
0.5000 0.5000 0.5000
```

Final energy = -3.58 eV/atom
Uncorrected formation energy = 0.856 eV/atom
Magnetic moment = 0.0 μB/f.u.
Space-group type = P4/mmm
Crystal system = tetragonal

---

This record from Alexandria describes crystalline RbY2AuC at its relaxed geometry. The functional is PBE.

POSCAR file:
```
RbY2AuC
1.0
5.4656 0.0000 0.0000
0.0000 5.4656 0.0000
0.0000 0.0000 6.8725
Rb Y Au C
1 2 1 1
Direct
0.0000 0.0000 0.0000
0.0000 0.5000 0.5000
0.5000 0.0000 0.5000
0.0000 0.0000 0.5000
0.5000 0.5000 0.0000
```

Final energy = -3.94 eV/atom
Magnetic moment = 2.5 μB/f.u.
E_form = 1.342 eV per atom
Space-group type = P4/mmm
Crystal system = tetragonal

---

This record from Alexandria describes crystalline RbZrAuC2 at its relaxed geometry. The functional is PBE.

POSCAR file:
```
RbZrAuC2
1.0
4.4034 0.0000 0.0000
0.0000 4.4034 0.0000
0.0000 0.0000 5.3646
Rb Zr Au C
1 1 1 2
Direct
0.0000 0.0000 0.0000
0.5000 0.5000 0.0000
0.5000 0.5000 0.5000
0.0000 0.5000 0.5000
0.5000 0.0000 0.5000
```

Final energy = -3.79 eV/atom
Magnetic moment = 1.2 μB/f.u.
E_form = 2.461 eV per atom
Space-group type = P4/mmm
Crystal system = tetragonal

---

This record from Alexandria describes crystalline ReAu2C2 at its relaxed geometry. The functional is PBE.

POSCAR file:
```
ReAu2C2
1.0
5.8410 0.0000 0.0000
0.0000 5.8410 0.0000
0.0000 0.0000 4.2889
Re Au C
2 4 4
Direct
0.0000 0.0000 0.0000
0.5000 0.5000 0.0000
0.2492 0.2508 0.5000
0.2508 0.7508 0.5000
0.7492 0.2492 0.5000
0.7508 0.7492 0.5000
0.2494 0.2506 0.0000
0.2506 0.7506 0.0000
0.7494 0.2494 0.0000
0.7506 0.7494 0.0000
```

Final energy = -6.47 eV/atom
Polymorph energy (0 for the lowest one) = 0 meV/atom
Magnetic moment = 0.0 μB/f.u.
E_form = 1.016 eV per atom
Space-group type = P4/mbm
Crystal system = tetragonal

---

This record from Alexandria describes crystalline Re2AuC at its relaxed geometry. The functional is PBE.

POSCAR file:
```
Re2AuC
1.0
-2.3854 2.3854 6.0256
2.3854 -2.3854 6.0256
2.3854 2.3854 -6.0256
Re Au C
4 2 2
Direct
0.3750 0.2458 0.3708
0.7542 0.1250 0.1292
0.8750 0.0042 0.6292
0.9958 0.6250 0.8708
0.2500 0.7500 0.5000
0.5000 0.5000 0.0000
0.0000 0.0000 0.0000
0.7500 0.2500 0.5000
```

Final energy = -8.18 eV/atom
Magnetic moment = 0.0 μB/f.u.
E_form = 1.171 eV per atom
Space-group type = I-42d
Crystal system = tetragonal

---

This record from Alexandria describes crystalline ReAu2C2 at its relaxed geometry. The functional is PBE.

POSCAR file:
```
ReAu2C2
1.0
-2.0169 2.0169 4.1999
2.0169 -2.0169 4.1999
2.0169 2.0169 -4.1999
Re Au C
1 2 2
Direct
0.0000 0.0000 0.0000
0.2500 0.7500 0.5000
0.7500 0.2500 0.5000
0.4194 0.4194 0.0000
0.5806 0.5806 0.0000
```

Final energy = -5.63 eV/atom
Polymorph energy (0 for the lowest one) = 843 meV/atom
Magnetic moment = 2.9 μB/f.u.
E_form = 1.859 eV per atom
Space-group type = I4/mmm
Crystal system = tetragonal

---

This record from Alexandria describes crystalline Re2RuAuC at its relaxed geometry. The functional is PBE.

POSCAR file:
```
Re2RuAuC
1.0
4.6538 0.0000 0.0000
0.0000 4.6538 0.0000
0.0000 0.0000 5.0455
Re Ru Au C
2 1 1 1
Direct
0.0000 0.5000 0.0000
0.5000 0.0000 0.0000
0.0000 0.0000 0.0000
0.0000 0.0000 0.5000
0.5000 0.5000 0.5000
```

Final energy = -6.18 eV/atom
Magnetic moment = 2.0 μB/f.u.
E_form = 3.156 eV per atom
Space-group type = P4/mmm
Crystal system = tetragonal

---

This record from Alexandria describes crystalline ReRuAu2C at its relaxed geometry. The functional is PBE.

POSCAR file:
```
ReRuAu2C
1.0
5.1002 0.0000 0.0000
0.0000 5.1002 0.0000
0.0000 0.0000 3.8175
Re Ru Au C
1 1 2 1
Direct
0.0000 0.0000 0.0000
0.5000 0.5000 0.5000
0.0000 0.5000 0.0000
0.5000 0.0000 0.0000
0.0000 0.0000 0.5000
```

Final energy = -5.81 eV/atom
Magnetic moment = 2.9 μB/f.u.
E_form = 1.691 eV per atom
Space-group type = P4/mmm
Crystal system = tetragonal

---

This record from Alexandria describes crystalline Sc2ReAuC at its relaxed geometry. The functional is PBE.

POSCAR file:
```
Sc2ReAuC
1.0
4.5288 0.0000 0.0000
0.0000 4.5288 0.0000
0.0000 0.0000 3.9817
Sc Re Au C
2 1 1 1
Direct
0.0000 0.5000 0.0000
0.5000 0.0000 0.0000
0.0000 0.0000 0.5000
0.5000 0.5000 0.5000
0.0000 0.0000 0.0000
```

Final energy = -7.99 eV/atom
Magnetic moment = 0.0 μB/f.u.
E_form = -0.463 eV per atom
Space-group type = P4/mmm
Crystal system = tetragonal

---

This record from Alexandria describes crystalline Re2SiAuC at its relaxed geometry. The functional is PBE.

POSCAR file:
```
Re2SiAuC
1.0
4.1394 0.0000 0.0000
0.0000 4.1394 0.0000
0.0000 0.0000 4.1944
Re Si Au C
2 1 1 1
Direct
0.0000 0.5000 0.0000
0.5000 0.0000 0.0000
0.0000 0.0000 0.5000
0.5000 0.5000 0.5000
0.5000 0.5000 0.0000
```

Final energy = -7.65 eV/atom
Uncorrected formation energy = 0.918 eV/atom
Magnetic moment = 0.0 μB/f.u.
Space-group type = P4/mmm
Crystal system = tetragonal

---

This record from Alexandria describes crystalline Ti2ReAuC at its relaxed geometry. The functional is PBE.

POSCAR file:
```
Ti2ReAuC
1.0
4.2280 0.0000 0.0000
0.0000 4.2280 0.0000
0.0000 0.0000 4.0056
Ti Re Au C
2 1 1 1
Direct
0.0000 0.5000 0.0000
0.5000 0.0000 0.0000
0.0000 0.0000 0.5000
0.5000 0.5000 0.5000
0.0000 0.0000 0.0000
```

Final energy = -8.54 eV/atom
Magnetic moment = 0.0 μB/f.u.
E_form = -0.396 eV per atom
Space-group type = P4/mmm
Crystal system = tetragonal

---

This record from Alexandria describes crystalline Y2ReAuC at its relaxed geometry. The functional is PBE.

POSCAR file:
```
Y2ReAuC
1.0
4.9936 0.0000 0.0000
0.0000 4.9936 0.0000
0.0000 0.0000 3.9450
Y Re Au C
2 1 1 1
Direct
0.0000 0.5000 0.0000
0.5000 0.0000 0.0000
0.0000 0.0000 0.5000
0.5000 0.5000 0.5000
0.0000 0.0000 0.0000
```

Final energy = -7.97 eV/atom
Magnetic moment = 0.0 μB/f.u.
E_form = -0.397 eV per atom
Space-group type = P4/mmm
Crystal system = tetragonal

---

This record from Alexandria describes crystalline ZrReAuC2 at its relaxed geometry. The functional is PBE.

POSCAR file:
```
ZrReAuC2
1.0
4.1466 0.0000 0.0000
0.0000 4.1466 0.0000
0.0000 0.0000 5.2626
Zr Re Au C
1 1 1 2
Direct
0.0000 0.0000 0.0000
0.5000 0.5000 0.5000
0.0000 0.0000 0.5000
0.0000 0.5000 0.0000
0.5000 0.0000 0.0000
```

Final energy = -6.06 eV/atom
Magnetic moment = 0.2 μB/f.u.
E_form = 2.481 eV per atom
Space-group type = P4/mmm
Crystal system = tetragonal

---

This record from Alexandria describes crystalline Zr2ReAuC at its relaxed geometry. The functional is PBE.

POSCAR file:
```
Zr2ReAuC
1.0
4.6200 0.0000 0.0000
0.0000 4.6200 0.0000
0.0000 0.0000 3.9761
Zr Re Au C
2 1 1 1
Direct
0.0000 0.5000 0.0000
0.5000 0.0000 0.0000
0.0000 0.0000 0.5000
0.5000 0.5000 0.5000
0.0000 0.0000 0.0000
```

Final energy = -8.82 eV/atom
Magnetic moment = 0.0 μB/f.u.
E_form = -0.415 eV per atom
Space-group type = P4/mmm
Crystal system = tetragonal

---

This record from Alexandria describes crystalline RhAuC3 at its relaxed geometry. The functional is PBE.

POSCAR file:
```
RhAuC3
1.0
4.0594 0.0000 0.0000
0.0000 4.0594 0.0000
0.0000 0.0000 4.0594
Rh Au C
1 1 3
Direct
0.0000 0.0000 0.0000
0.5000 0.5000 0.5000
0.0000 0.5000 0.5000
0.5000 0.0000 0.5000
0.5000 0.5000 0.0000
```

Final energy = -4.51 eV/atom
Polymorph energy (0 for the lowest one) = 767 meV/atom
Magnetic moment = 0.0 μB/f.u.
E_form = 3.153 eV per atom
Space-group type = Pm-3m
Crystal system = cubic

---

This record from Alexandria describes crystalline RhAu3C at its relaxed geometry. The functional is PBE.

POSCAR file:
```
RhAu3C
1.0
4.2912 0.0000 0.0000
0.0000 4.2912 0.0000
0.0000 0.0000 4.2912
Rh Au C
1 3 1
Direct
0.0000 0.0000 0.0000
0.0000 0.5000 0.5000
0.5000 0.0000 0.5000
0.5000 0.5000 0.0000
0.5000 0.5000 0.5000
```

Final energy = -4.43 eV/atom
Polymorph energy (0 for the lowest one) = 0 meV/atom
Magnetic moment = 0.8 μB/f.u.
E_form = 0.853 eV per atom
Space-group type = Pm-3m
Crystal system = cubic

---

This record from Alexandria describes crystalline Rh2AuC at its relaxed geometry. The functional is PBE.

POSCAR file:
```
Rh2AuC
1.0
-3.1275 3.1275 2.9455
3.1275 -3.1275 2.9455
3.1275 3.1275 -2.9455
Rh Au C
4 2 2
Direct
0.0192 0.1250 0.3942
0.3750 0.9808 0.1058
0.7308 0.6250 0.6058
0.8750 0.2692 0.8942
0.2500 0.7500 0.5000
0.5000 0.5000 0.0000
0.0000 0.0000 0.0000
0.7500 0.2500 0.5000
```

Final energy = -6.49 eV/atom
Magnetic moment = 0.0 μB/f.u.
E_form = 0.312 eV per atom
Space-group type = I-42d
Crystal system = tetragonal

---

This record from Alexandria describes crystalline RhAu3C at its relaxed geometry. The functional is PBE.

POSCAR file:
```
RhAu3C
1.0
4.9908 0.0000 0.0000
0.0000 4.9908 0.0000
0.0000 0.0000 4.9908
Rh Au C
1 3 1
Direct
0.0000 0.0000 0.0000
0.0000 0.0000 0.5000
0.0000 0.5000 0.0000
0.5000 0.0000 0.0000
0.5000 0.5000 0.5000
```

Final energy = -2.88 eV/atom
Polymorph energy (0 for the lowest one) = 1544 meV/atom
Magnetic moment = 0.0 μB/f.u.
E_form = 2.397 eV per atom
Space-group type = Pm-3m
Crystal system = cubic

---

This record from Alexandria describes crystalline Rh3AuC at its relaxed geometry. The functional is PBE.

POSCAR file:
```
Rh3AuC
1.0
4.1051 0.0000 0.0000
0.0000 4.1051 0.0000
0.0000 0.0000 4.1051
Rh Au C
3 1 1
Direct
0.0000 0.0000 0.5000
0.0000 0.5000 0.0000
0.5000 0.0000 0.0000
0.5000 0.5000 0.5000
0.0000 0.0000 0.0000
```

Final energy = -6.69 eV/atom
Polymorph energy (0 for the lowest one) = 0 meV/atom
Magnetic moment = 0.1 μB/f.u.
E_form = 0.224 eV per atom
Space-group type = Pm-3m
Crystal system = cubic

---

This record from Alexandria describes crystalline RhAuC3 at its relaxed geometry. The functional is PBE.

POSCAR file:
```
RhAuC3
1.0
4.0143 0.0000 0.0000
0.0000 4.0143 0.0000
0.0000 0.0000 4.0143
Rh Au C
1 1 3
Direct
0.0000 0.0000 0.0000
0.5000 0.5000 0.5000
0.0000 0.0000 0.5000
0.0000 0.5000 0.0000
0.5000 0.0000 0.0000
```

Final energy = -5.27 eV/atom
Polymorph energy (0 for the lowest one) = 0 meV/atom
Magnetic moment = 0.0 μB/f.u.
E_form = 2.386 eV per atom
Space-group type = Pm-3m
Crystal system = cubic